[1]
Density functional theory data (PBE-GGA) for a relaxed Tl2In2Pb crystal.

Energy of formation from the pure elements (meV per atom): 122
SG: I4/mmm, No. 139
E (eV per atom): -2.662
E above lowest polymorph (meV/atom): 105

a b c (Å): 4.250 4.250 17.330
angles (deg): 90.00 90.00 90.00
Sites, in units of the cell vectors:
1 Tl 0.000 0.000 0.099
2 Tl 0.000 0.000 0.901
3 Tl 0.500 0.500 0.401
4 Tl 0.500 0.500 0.599
5 In 0.000 0.500 0.250
6 In 0.000 0.500 0.750
7 In 0.500 0.000 0.250
8 In 0.500 0.000 0.750
9 Pb 0.000 0.000 0.500
10 Pb 0.500 0.500 0.000


[2]
Density functional theory data (PBE-GGA) for a relaxed Tl7In3Pb2 crystal.

Energy of formation from the pure elements (meV per atom): 44
SG: P2/m, No. 10
E (eV per atom): -2.639

a b c (Å): 6.466 3.342 16.962
angles (deg): 90.00 95.65 90.00
Sites, in units of the cell vectors:
1 Tl 0.000 0.000 0.000
2 Tl 0.250 0.500 0.165
3 Tl 0.257 0.500 0.506
4 Tl 0.261 0.000 0.833
5 Tl 0.739 0.000 0.167
6 Tl 0.743 0.500 0.494
7 Tl 0.750 0.500 0.835
8 In 0.482 0.000 0.333
9 In 0.500 0.500 0.000
10 In 0.518 0.000 0.667
11 Pb 0.005 0.500 0.672
12 Pb 0.995 0.500 0.328